one) This record from the Alexandria database describes an optimized crystal structure of CaHfF3. The functional is GGA-PBE.

```
CaHfF3
1.0
4.456 0.000 0.000
0.000 4.456 0.000
0.000 0.000 4.456
Ca Hf F
1 1 3
Direct
0.000 0.000 0.000
0.500 0.500 0.500
0.000 0.000 0.500
0.000 0.500 0.000
0.500 0.000 0.000
```

Output
theoretical density	5.17	g cm⁻³
density of states at the Fermi level	0.67	states/eV per atom

two) This record from the Alexandria database describes an optimized crystal structure of CaHfF3. The functional is GGA-PBE.

```
CaHfF3
1.0
4.438 0.000 0.000
0.000 4.438 0.000
0.000 0.000 4.438
Ca Hf F
1 1 3
Direct
0.000 0.000 0.000
0.500 0.500 0.500
0.000 0.500 0.500
0.500 0.000 0.500
0.500 0.500 0.000
```

Output
theoretical density	5.23	g cm⁻³
density of states at the Fermi level	1.24	states/eV per atom

Best to worst by energy: two), one).

one) This record from the Alexandria database describes an optimized crystal structure of CaHfNF2. The functional is GGA-PBE.

```
CaHfNF2
1.0
4.256 0.000 0.000
0.000 4.256 0.000
0.000 0.000 4.223
Ca Hf N F
1 1 1 2
Direct
0.000 0.000 0.000
0.500 0.500 0.500
0.500 0.500 0.000
0.000 0.500 0.500
0.500 0.000 0.500
```

Output
theoretical density	5.87	g cm⁻³
density of states at the Fermi level	0.50	states/eV per atom

two) This record from the Alexandria database describes an optimized crystal structure of CaHfNF2. The functional is GGA-PBE.

```
CaHfNF2
1.0
3.968 0.000 0.000
0.000 3.968 0.000
0.000 0.000 5.198
Ca Hf N F
1 1 1 2
Direct
0.000 0.000 0.000
0.500 0.500 0.500
0.000 0.000 0.500
0.000 0.500 0.000
0.500 0.000 0.000
```

Output
theoretical density	5.49	g cm⁻³
density of states at the Fermi level	0.57	states/eV per atom

Best to worst by energy: one), two).

one) This record from the Alexandria database describes an optimized crystal structure of CaHfOF2. The functional is GGA-PBE.

```
CaHfOF2
1.0
4.144 0.000 0.000
0.000 4.144 0.000
0.000 0.000 4.742
Ca Hf O F
1 1 1 2
Direct
0.000 0.000 0.000
0.500 0.500 0.500
0.000 0.000 0.500
0.000 0.500 0.000
0.500 0.000 0.000
```

Output
theoretical density	5.56	g cm⁻³
density of states at the Fermi level	0.72	states/eV per atom

two) This record from the Alexandria database describes an optimized crystal structure of CaHfOF2. The functional is GGA-PBE.

```
CaHfOF2
1.0
4.473 0.000 0.000
0.000 4.473 0.000
0.000 0.000 4.066
Ca Hf O F
1 1 1 2
Direct
0.000 0.000 0.000
0.500 0.500 0.500
0.500 0.500 0.000
0.000 0.500 0.500
0.500 0.000 0.500
```

Output
theoretical density	5.56	g cm⁻³
density of states at the Fermi level	0.62	states/eV per atom

Best to worst by energy: two), one).

one) This record from the Alexandria database describes an optimized crystal structure of Ca2HgF. The functional is GGA-PBE.

```
Ca2HgF
1.0
-3.537 3.537 4.039
3.537 -3.537 4.039
3.537 3.537 -4.039
Ca Hg F
4 2 2
Direct
0.040 0.625 0.915
0.375 0.290 0.415
0.710 0.125 0.085
0.875 0.960 0.585
0.250 0.750 0.500
0.500 0.500 0.000
0.000 0.000 0.000
0.750 0.250 0.500
```

Output
theoretical density	4.92	g cm⁻³
density of states at the Fermi level	0.43	states/eV per atom

two) This record from the Alexandria database describes an optimized crystal structure of Ca2HgF. The functional is GGA-PBE.

```
Ca2HgF
1.0
1.860 1.074 9.372
-1.860 1.074 9.372
0.000 -2.148 9.372
Ca Hg F
2 1 1
Direct
0.111 0.111 0.111
0.889 0.889 0.889
0.000 0.000 0.000
0.500 0.500 0.500
```

Output
theoretical density	4.43	g cm⁻³
density of states at the Fermi level	0.57	states/eV per atom

Best to worst by energy: one), two).

one) This record from the Alexandria database describes an optimized crystal structure of CaHg2F6. The functional is GGA-PBE.

```
CaHg2F6
1.0
6.135 -2.099 0.000
6.135 2.099 0.000
-4.281 0.000 6.089
Ca Hg F
1 2 6
Direct
0.000 0.000 0.000
0.181 0.181 0.640
0.819 0.819 0.360
0.012 0.012 0.697
0.224 0.224 0.337
0.380 0.380 0.957
0.620 0.620 0.043
0.776 0.776 0.663
0.988 0.988 0.303
```

Output
theoretical density	5.88	g cm⁻³
density of states at the Fermi level	0.00	states/eV per atom

two) This record from the Alexandria database describes an optimized crystal structure of CaHg2F6. The functional is GGA-PBE.

```
CaHg2F6
1.0
-1.975 2.805 5.964
1.975 -2.805 5.964
1.975 2.805 -5.964
Ca Hg F
1 2 6
Direct
0.000 0.000 0.000
0.334 0.334 0.000
0.666 0.666 0.000
0.082 0.836 0.246
0.242 0.500 0.742
0.409 0.164 0.246
0.591 0.836 0.754
0.758 0.500 0.258
0.918 0.164 0.754
```

Output
theoretical density	6.98	g cm⁻³
density of states at the Fermi level	0.00	states/eV per atom

Best to worst by energy: two), one).

one) This record from the Alexandria database describes an optimized crystal structure of Ca2HgF6. The functional is GGA-PBE.

```
Ca2HgF6
1.0
-1.959 2.783 5.920
1.959 -2.783 5.920
1.959 2.783 -5.920
Ca Hg F
2 1 6
Direct
0.168 0.168 0.000
0.832 0.832 0.000
0.500 0.500 0.000
0.076 0.330 0.746
0.243 0.000 0.243
0.415 0.670 0.746
0.585 0.330 0.254
0.757 0.000 0.757
0.924 0.670 0.254
```

Output
theoretical density	5.08	g cm⁻³
density of states at the Fermi level	0.00	states/eV per atom

two) This record from the Alexandria database describes an optimized crystal structure of Ca2HgF6. The functional is GGA-PBE.

```
Ca2HgF6
1.0
6.086 0.000 0.000
0.000 5.547 0.000
-5.457 0.000 9.462
Ca Hg F
4 2 12
Direct
0.189 0.016 0.195
0.189 0.484 0.695
0.811 0.516 0.305
0.811 0.984 0.805
0.500 0.000 0.000
0.500 0.500 0.500
0.148 0.737 0.330
0.148 0.763 0.830
0.156 0.178 0.992
0.156 0.322 0.492
0.499 0.712 0.684
0.499 0.788 0.184
0.501 0.212 0.816
0.501 0.288 0.316
0.844 0.678 0.508
0.844 0.822 0.008
0.852 0.237 0.170
0.852 0.263 0.670
```

Output
theoretical density	4.10	g cm⁻³
density of states at the Fermi level	0.00	states/eV per atom

Best to worst by energy: one), two).

one) This record from the Alexandria database describes an optimized crystal structure of CaHgN2F. The functional is GGA-PBE.

```
CaHgN2F
1.0
4.156 0.000 0.000
0.000 4.156 0.000
0.000 0.000 4.776
Ca Hg N F
1 1 2 1
Direct
0.000 0.000 0.000
0.500 0.500 0.500
0.000 0.500 0.500
0.500 0.000 0.500
0.500 0.500 0.000
```

Output
theoretical density	5.79	g cm⁻³
density of states at the Fermi level	0.79	states/eV per atom

two) This record from the Alexandria database describes an optimized crystal structure of CaHgN2F. The functional is GGA-PBE.

```
CaHgN2F
1.0
5.013 0.000 0.000
0.000 5.013 0.000
0.000 0.000 4.348
Ca Hg N F
1 1 2 1
Direct
0.000 0.000 0.000
0.500 0.500 0.500
0.000 0.500 0.000
0.500 0.000 0.000
0.000 0.000 0.500
```

Output
theoretical density	4.37	g cm⁻³
density of states at the Fermi level	0.61	states/eV per atom

Best to worst by energy: one), two).

one) This record from the Alexandria database describes an optimized crystal structure of Ca2IF. The functional is GGA-PBE.

```
Ca2IF
1.0
0.000 3.753 3.753
3.753 0.000 3.753
3.753 3.753 0.000
Ca I F
2 1 1
Direct
0.250 0.250 0.250
0.750 0.750 0.750
0.000 0.000 0.000
0.500 0.500 0.500
```

Output
theoretical density	3.55	g cm⁻³
density of states at the Fermi level	1.01	states/eV per atom

two) This record from the Alexandria database describes an optimized crystal structure of Ca2IF. The functional is GGA-PBE.

```
Ca2IF
1.0
-3.271 3.271 5.954
3.271 -3.271 5.954
3.271 3.271 -5.954
Ca I F
4 2 2
Direct
0.025 0.625 0.900
0.375 0.275 0.400
0.725 0.125 0.100
0.875 0.975 0.600
0.250 0.750 0.500
0.500 0.500 0.000
0.000 0.000 0.000
0.750 0.250 0.500
```

Output
theoretical density	2.95	g cm⁻³
density of states at the Fermi level	0.57	states/eV per atom

Best to worst by energy: two), one).